This record from Alexandria via LeMat-Bulk describes CoRuCl3 after structural relaxation. The functional is GGA-PBE.

Calculated total energy   -45.5 eV for the cell shown
Distance to the lowest polymorph of the same formula   81.7 meV per atom
Uncorrected formation energy   -166.5 meV per atom
Symmetry   No. 1
Total moment   4.00 Bohr magnetons per cell

Lattice parameters (Å, degrees): 5.7934 6.5704 7.7432 100.20 106.37 109.49
With the nearest neighbours (Å) after each atom.
Fractional coordinates of all 10 atoms:
1 Co 0.0000 0.0000 0.0000  4 Cl 2.24-2.47, 1 Ru 2.47
2 Co 0.0427 0.4911 0.7508  4 Cl 2.33-2.45, 1 Ru 2.38
3 Ru 0.4046 0.1245 0.9268  1 Ru 2.19, 2 Cl 2.30-2.31
4 Ru 0.4492 0.8086 0.8388  1 Ru 2.19, 2 Cl 2.36, 1 Co 2.38
5 Cl 0.1651 0.6567 0.5198  1 Ru 2.36, 1 Co 2.40
6 Cl 0.2081 0.2249 0.6709  1 Ru 2.31, 1 Co 2.33
7 Cl 0.3981 0.2118 0.2263  1 Co 2.25, 1 Ru 2.30
8 Cl 0.7147 0.8239 0.1385  1 Co 2.32, 1 Ru 2.36
9 Cl 0.7767 0.7141 0.7300  2 Co 2.24-2.45, 1 Ru 2.49
10 Cl 0.8826 0.3200 0.9557  2 Co 2.33-2.47, 1 Ru 2.56

---

This record from Alexandria via LeMat-Bulk describes Ho2InNi2Rh5 after structural relaxation. The functional is GGA-PBE.

Calculated total energy   -130.9 eV for the cell shown
Energy relative to the elements   -523 meV/atom
Symmetry   No. 127
Total moment   0.00 Bohr magnetons per cell

Lattice parameters (Å, degrees): 9.2240 9.2240 3.8888 90.00 90.00 90.00
With the nearest neighbours (Å) after each atom.
Fractional coordinates of all 20 atoms:
1 Ho 0.1739 0.3261 0.0000  3 Ni 2.66-2.77
2 Ho 0.3261 0.8261 0.0000  3 Ni 2.66-2.77
3 Ho 0.6739 0.1739 0.0000  3 Ni 2.66-2.77
4 Ho 0.8261 0.6739 0.0000  3 Ni 2.66-2.77
5 In 0.0000 0.0000 0.0000  8 Rh 2.83
6 In 0.5000 0.5000 0.0000  8 Rh 2.83
7 Ni 0.1220 0.6220 0.0000  6 Rh 2.51-2.53, 3 Ho 2.66-2.77
8 Ni 0.3780 0.1220 0.0000  6 Rh 2.51-2.53, 3 Ho 2.66-2.77
9 Ni 0.6220 0.8780 0.0000  6 Rh 2.51-2.53, 3 Ho 2.66-2.77
10 Ni 0.8780 0.3780 0.0000  6 Rh 2.51-2.53, 3 Ho 2.66-2.77
11 Rh 0.0000 0.5000 0.5000  4 Ni 2.51, 4 Rh 2.74
12 Rh 0.0702 0.7888 0.5000  2 Ni 2.53, 1 Rh 2.74, 2 In 2.83
13 Rh 0.2112 0.0702 0.5000  2 Ni 2.53, 1 Rh 2.74, 2 In 2.83
14 Rh 0.2888 0.5702 0.5000  2 Ni 2.53, 1 Rh 2.74, 2 In 2.83
15 Rh 0.4298 0.2888 0.5000  2 Ni 2.53, 1 Rh 2.74, 2 In 2.83
16 Rh 0.5000 0.0000 0.5000  4 Ni 2.51, 4 Rh 2.74
17 Rh 0.5702 0.7112 0.5000  2 Ni 2.53, 1 Rh 2.74, 2 In 2.83
18 Rh 0.7112 0.4298 0.5000  2 Ni 2.53, 1 Rh 2.74, 2 In 2.83
19 Rh 0.7888 0.9298 0.5000  2 Ni 2.53, 1 Rh 2.74, 2 In 2.83
20 Rh 0.9298 0.2112 0.5000  2 Ni 2.53, 1 Rh 2.74, 2 In 2.83

---

This record from Alexandria via LeMat-Bulk describes Tc2AgIr after structural relaxation. The functional is GGA-PBE.

Calculated total energy   -29.7 eV for the cell shown
Energy relative to the elements   681 meV/atom
Distance to the lowest polymorph of the same formula   542.6 meV per atom
Symmetry   No. 225
Total moment   0.00 Bohr magnetons per cell

Lattice parameters (Å, degrees): 4.4337 4.4337 4.4337 60.00 60.00 60.00
With the nearest neighbours (Å) after each atom.
Fractional coordinates of all 4 atoms:
1 Tc 0.2500 0.2500 0.2500  4 Ir 2.72, 4 Ag 2.72
2 Tc 0.7500 0.7500 0.7500  4 Ir 2.72, 4 Ag 2.72
3 Ag 0.0000 0.0000 0.0000  8 Tc 2.72
4 Ir 0.5000 0.5000 0.5000  8 Tc 2.72

---

This record from Alexandria via LeMat-Bulk describes LiEuAu2 after structural relaxation. The functional is GGA-PBE.

Calculated total energy   -21.5 eV for the cell shown
Energy relative to the elements   -681 meV/atom
Symmetry   No. 166
Total moment   7.09 Bohr magnetons per cell

Lattice parameters (Å, degrees): 5.6943 5.6943 5.6943 47.21 47.21 47.21
With the nearest neighbours (Å) after each atom.
Fractional coordinates of all 4 atoms:
1 Li 0.0000 0.0000 0.0000  6 Au 2.72
2 Eu 0.5000 0.5000 0.5000  8 Au 3.20-3.22
3 Au 0.2871 0.2871 0.2871  3 Li 2.72, 3 Au 2.98
4 Au 0.7129 0.7129 0.7129  3 Li 2.72, 3 Au 2.98

---

This record from Alexandria via LeMat-Bulk describes K4Ce3PuS8 after structural relaxation. The functional is GGA-PBE.

Calculated total energy   -97.5 eV for the cell shown
Uncorrected formation energy   -1746.3 meV per atom
Symmetry   No. 166
Total moment   8.00 Bohr magnetons per cell

Lattice parameters (Å, degrees): 8.7984 8.7984 8.7984 56.85 56.85 56.85
With the nearest neighbours (Å) after each atom.
Fractional coordinates of all 16 atoms:
1 K 0.0000 0.0000 0.0000  6 S 3.26
2 K 0.0000 0.5000 0.5000  6 S 3.24-3.25
3 K 0.5000 0.0000 0.5000  6 S 3.24-3.25
4 K 0.5000 0.5000 0.0000  6 S 3.24-3.25
5 Ce 0.0000 0.0000 0.5000  6 S 2.85-2.86
6 Ce 0.0000 0.5000 0.0000  6 S 2.85-2.86
7 Ce 0.5000 0.0000 0.0000  6 S 2.85-2.86
8 Pu 0.5000 0.5000 0.5000  6 S 2.84
9 S 0.2354 0.7341 0.7341  1 Pu 2.84, 2 Ce 2.85
10 S 0.2355 0.2355 0.2355  3 Ce 2.86
11 S 0.2659 0.2659 0.7646  1 Pu 2.84, 2 Ce 2.85
12 S 0.2659 0.7646 0.2659  1 Pu 2.84, 2 Ce 2.85
13 S 0.7341 0.2354 0.7341  1 Pu 2.84, 2 Ce 2.85
14 S 0.7341 0.7341 0.2354  1 Pu 2.84, 2 Ce 2.85
15 S 0.7645 0.7645 0.7645  3 Ce 2.86
16 S 0.7646 0.2659 0.2659  1 Pu 2.84, 2 Ce 2.85

---

This record from Alexandria via LeMat-Bulk describes Sr3Zn2Au9 after structural relaxation. The functional is GGA-PBE.

Calculated total energy   -44.6 eV for the cell shown
Energy relative to the elements   -535 meV/atom
Symmetry   No. 71
Total moment   0.00 Bohr magnetons per cell

Lattice parameters (Å, degrees): 8.7305 8.7305 8.7305 149.55 106.42 81.67
With the nearest neighbours (Å) after each atom.
Fractional coordinates of all 14 atoms:
1 Sr 0.0000 0.0000 0.0000  12 Au 3.34-3.50, 4 Zn 3.64
2 Sr 0.3090 0.3090 0.0000  10 Au 3.26-3.41, 2 Zn 3.49
3 Sr 0.6910 0.6910 0.0000  10 Au 3.26-3.41, 2 Zn 3.49
4 Zn 0.2698 0.5000 0.7698  6 Au 2.65-2.79
5 Zn 0.7302 0.5000 0.2302  6 Au 2.65-2.79
6 Au 0.0356 0.6694 0.3661  1 Zn 2.65, 4 Au 2.80-2.92
7 Au 0.1620 0.8805 0.2816  4 Au 2.78-2.92, 2 Zn 2.79
8 Au 0.3033 0.6694 0.6339  1 Zn 2.65, 4 Au 2.80-2.92
9 Au 0.4011 0.1195 0.2816  4 Au 2.78-2.92, 2 Zn 2.79
10 Au 0.5000 0.0000 0.5000  4 Au 2.78
11 Au 0.5989 0.8805 0.7184  4 Au 2.78-2.92, 2 Zn 2.79
12 Au 0.6967 0.3306 0.3661  1 Zn 2.65, 4 Au 2.80-2.92
13 Au 0.8380 0.1195 0.7184  4 Au 2.78-2.92, 2 Zn 2.79
14 Au 0.9644 0.3306 0.6339  1 Zn 2.65, 4 Au 2.80-2.92

---

This record from Alexandria via LeMat-Bulk describes CsAgI2O after structural relaxation. The functional is GGA-PBE.

Calculated total energy   -13.7 eV for the cell shown
Distance to the lowest polymorph of the same formula   0.0 meV per atom
Uncorrected formation energy   -389.3 meV per atom
Symmetry   No. 123
Total moment   1.21 Bohr magnetons per cell

Lattice parameters (Å, degrees): 6.2775 6.2775 4.1701 90.00 90.00 90.00
With the nearest neighbours (Å) after each atom.
Fractional coordinates of all 5 atoms:
1 Cs 0.0000 0.0000 0.0000  8 I 3.77, 2 Cs 4.17
2 Ag 0.5000 0.5000 0.5000  2 O 2.09
3 I 0.0000 0.5000 0.5000  2 Ag 3.14
4 I 0.5000 0.0000 0.5000  2 Ag 3.14
5 O 0.5000 0.5000 0.0000  2 Ag 2.09

---

This record from Alexandria via LeMat-Bulk describes BaNbRhO6 after structural relaxation. The functional is GGA-PBE.

Calculated total energy   -66.1 eV for the cell shown
Uncorrected formation energy   -1887.5 meV per atom
Symmetry   No. 149
Total moment   2.03 Bohr magnetons per cell

Lattice parameters (Å, degrees): 5.3724 5.3724 5.7765 90.00 90.00 120.00
With the nearest neighbours (Å) after each atom.
Fractional coordinates of all 9 atoms:
1 Ba 0.0000 0.0000 0.0000  6 O 2.73
2 Nb 0.3333 0.6667 0.5000  6 O 2.02
3 Rh 0.6667 0.3333 0.5000  6 O 1.99
4 O 0.3874 0.0042 0.6925  1 Rh 1.99, 1 Nb 2.02
5 O 0.3874 0.3832 0.3075  1 Rh 1.99, 1 Nb 2.02
6 O 0.6168 0.0042 0.3075  1 Rh 1.99, 1 Nb 2.02
7 O 0.6168 0.6126 0.6925  1 Rh 1.99, 1 Nb 2.02
8 O 0.9958 0.3832 0.6925  1 Rh 1.99, 1 Nb 2.02
9 O 0.9958 0.6126 0.3075  1 Rh 1.99, 1 Nb 2.02

---

This record from Alexandria via LeMat-Bulk describes Ce2NpZn after structural relaxation. The functional is GGA-PBE.

Calculated total energy   -25.9 eV for the cell shown
Energy relative to the elements   39 meV/atom
Distance to the lowest polymorph of the same formula   0.0 meV per atom
Symmetry   No. 123
Total moment   3.49 Bohr magnetons per cell

Lattice parameters (Å, degrees): 5.3425 5.3425 3.1131 90.00 90.00 90.00
With the nearest neighbours (Å) after each atom.
Fractional coordinates of all 4 atoms:
1 Ce 0.0000 0.5000 0.0000  4 Zn 3.09, 4 Np 3.09, 2 Ce 3.11
2 Ce 0.5000 0.0000 0.0000  4 Zn 3.09, 4 Np 3.09, 2 Ce 3.11
3 Np 0.0000 0.0000 0.5000  8 Ce 3.09, 2 Np 3.11
4 Zn 0.5000 0.5000 0.5000  8 Ce 3.09, 2 Zn 3.11

---

This record from Alexandria via LeMat-Bulk describes AlRu3 after structural relaxation. The functional is GGA-PBE.

Calculated total energy   -32.2 eV for the cell shown
Energy relative to the elements   -158 meV/atom
Symmetry   No. 71
Total moment   0.00 Bohr magnetons per cell

Lattice parameters (Å, degrees): 5.0665 5.0665 5.0665 146.48 128.88 62.53
With the nearest neighbours (Å) after each atom.
Fractional coordinates of all 4 atoms:
1 Al 0.0000 0.0000 0.0000  8 Ru 2.50-2.63
2 Ru 0.2338 0.7338 0.5000  2 Al 2.50, 6 Ru 2.64-2.73
3 Ru 0.5000 0.5000 0.0000  4 Al 2.63, 6 Ru 2.73-2.92
4 Ru 0.7662 0.2662 0.5000  2 Al 2.50, 6 Ru 2.64-2.73

---

What is the total moment in the second record?
0.00 Bohr magnetons per cell

---

Which value of total moment does entry 5 give?
8.00 Bohr magnetons per cell